No. 1
# Bi2CBr

A relaxed Bi2CBr crystal (PBE-GGA, the Alexandria database).

Values from the calculation:
Space-group type ... Fm-3m (225)
Total energy ... -3.3399 eV per atom

```
data_Bi2CBr
_chemical_formula_sum 'Bi2 C1 Br1'
_cell_length_a 5.0527
_cell_length_b 5.0527
_cell_length_c 5.0527
_cell_angle_alpha 60.00
_cell_angle_beta 60.00
_cell_angle_gamma 60.00
_space_group_name_H-M_alt 'P 1'
_space_group_IT_number 1
loop_
_space_group_symop_operation_xyz
'x,y,z'
loop_
_atom_site_label
_atom_site_fract_x
_atom_site_fract_y
_atom_site_fract_z
Bi1 0.7500 0.7500 0.7500
C1 0.0000 0.0000 0.0000
Bi2 0.2500 0.2500 0.2500
Br1 0.5000 0.5000 0.5000
```

No. 2
# TbCeAgAu

A relaxed TbCeAgAu crystal (PBE-GGA, the Alexandria database).

Values from the calculation:
Energy of formation ... -0.44 eV/atom
Space-group type ... F-43m (216)
Total energy ... -4.6127 eV per atom

```
data_TbCeAgAu
_chemical_formula_sum 'Tb1 Ce1 Ag1 Au1'
_cell_length_a 5.1946
_cell_length_b 5.1946
_cell_length_c 5.1946
_cell_angle_alpha 60.00
_cell_angle_beta 60.00
_cell_angle_gamma 60.00
_space_group_name_H-M_alt 'P 1'
_space_group_IT_number 1
loop_
_space_group_symop_operation_xyz
'x,y,z'
loop_
_atom_site_label
_atom_site_fract_x
_atom_site_fract_y
_atom_site_fract_z
Ag1 0.2500 0.2500 0.2500
Tb1 0.0000 0.0000 0.0000
Au1 0.7500 0.7500 0.7500
Ce1 0.5000 0.5000 0.5000
```

| no. | size of the total moment (μB/f.u.) | polymorph energy (0 for the lowest one) (eV/atom) |
| --- | --- | --- |
| 1 | 0.0 | 0.555 |
| 2 | 1.0 | 0.020 |